Entry 1:
A plane-wave DFT calculation with PBE was carried out for a relaxed structure of HoTh5Sc6.

The uncorrected energy is -6.59 eV/atom. The energy of formation is 0.046 eV/atom. The value obtained for the total magnetization is 0.00 Bohr magnetons per cell.

The structure belongs to space group Cmmm (No. 65); the cell edges are 5.506, 16.526 and 7.424 Å and the angles 90.00°, 90.00° and 90.00°. The distinct sites, in fractional coordinates, are Ho at (0.000, 0.000, 0.000), Th at (0.000, 0.000, 0.500), Th at (0.000, 0.334, 0.500), Th at (0.000, 0.336, 0.000), Sc at (0.000, 0.169, 0.250) and Sc at (0.000, 0.500, 0.260).

***

Entry 2:
A plane-wave DFT calculation with PBE was carried out for a relaxed structure of TcPb4Se.

Its formation energy without anion corrections is 0.837 eV/atom. The uncorrected energy is -3.94 eV/atom. The value obtained for the total magnetization is 13.23 Bohr magnetons per cell.

The structure belongs to space group F-43m (No. 216); the cell edges are 8.922, 8.922 and 8.922 Å and the angles 90.00°, 90.00° and 90.00°. The distinct sites, in fractional coordinates, are Tc at (0.000, 0.000, 0.000), Pb at (0.126, 0.126, 0.626) and Se at (0.250, 0.250, 0.250).

***

Entry 3:
A plane-wave DFT calculation with PBE was carried out for a relaxed structure of Pm4NiPd.

The uncorrected energy is -5.28 eV/atom. For the energy above the lowest structure with this stoichiometry, the calculation gives 0.047 eV per atom. The energy of formation is -0.287 eV/atom. The value obtained for the total magnetization is 0.00 Bohr magnetons per cell.

The structure belongs to space group C2/c (No. 15); the cell edges are 9.154, 14.221 and 6.967 Å and the angles 90.00°, 130.08° and 90.00°. The distinct sites, in fractional coordinates, are Pm at (0.169, 0.218, 0.169), Pm at (0.247, 0.032, 0.749), Ni at (0.000, 0.089, 0.250) and Pd at (0.000, 0.374, 0.750).

***

Entry 4:
A plane-wave DFT calculation with PBE was carried out for a relaxed structure of SrCd2Ag2Hg.

The uncorrected energy is -1.61 eV/atom. The energy of formation is -0.028 eV/atom. The value obtained for the total magnetization is 0.00 Bohr magnetons per cell.

The structure belongs to space group I4/mmm (No. 139); the cell edges are 5.410, 5.410 and 12.048 Å and the angles 90.00°, 90.00° and 90.00°. The distinct sites, in fractional coordinates, are Sr at (0.000, 0.000, 0.000), Cd at (0.000, 0.500, 0.250), Ag at (0.000, 0.000, 0.272) and Hg at (0.000, 0.000, 0.500).

***

Entry 5:
A plane-wave DFT calculation with PBE was carried out for a relaxed structure of Ba4Th3CrN8.

Its formation energy without anion corrections is -0.783 eV/atom. The uncorrected energy is -7.42 eV/atom. The value obtained for the total magnetization is 3.90 Bohr magnetons per cell.

The structure belongs to space group C2/m (No. 12); the cell edges are 12.966, 7.257 and 7.647 Å and the angles 90.00°, 123.10° and 90.00°. The distinct sites, in fractional coordinates, are Ba at (0.000, 0.000, 0.000), Ba at (0.000, 0.500, 0.000), Ba at (0.250, 0.250, 0.000), Th at (0.000, 0.000, 0.500), Th at (0.250, 0.250, 0.500), Cr at (0.000, 0.500, 0.500), N at (0.016, 0.273, 0.320), N at (0.229, 0.000, 0.693) and N at (0.246, 0.000, 0.283).

***

Entry 6:
A plane-wave DFT calculation with PBE was carried out for a relaxed structure of FeCuSe2.

Its formation energy without anion corrections is -0.043 eV/atom. The uncorrected energy is -4.93 eV/atom. The value obtained for the total magnetization is 3.56 Bohr magnetons per cell.

The structure belongs to space group P4mm (No. 99); the cell edges are 3.406, 3.406 and 6.898 Å and the angles 90.00°, 90.00° and 90.00°. The distinct sites, in fractional coordinates, are Fe at (0.000, 0.000, 0.000), Cu at (0.500, 0.500, 0.772), Se at (0.000, 0.000, 0.651) and Se at (0.500, 0.500, 0.134).

***

Entry 7:
A plane-wave DFT calculation with PBE was carried out for a relaxed structure of ScNbSn2.

The uncorrected energy is -6.29 eV/atom. For the energy above the lowest structure with this stoichiometry, the calculation gives 0.014 eV per atom. The energy of formation is -0.193 eV/atom. The value obtained for the total magnetization is 0.00 Bohr magnetons per cell.

The structure belongs to space group P4/mmm (No. 123); the cell edges are 4.485, 4.485 and 4.203 Å and the angles 90.00°, 90.00° and 90.00°. The distinct sites, in fractional coordinates, are Sc at (0.000, 0.000, 0.000), Nb at (0.500, 0.500, 0.000) and Sn at (0.000, 0.500, 0.500).

***

Entry 8:
A plane-wave DFT calculation with PBE was carried out for a relaxed structure of Li2CaMnOs.

The uncorrected energy is -4.13 eV/atom. For the energy above the lowest structure with this stoichiometry, the calculation gives 0.553 eV per atom. The energy of formation is 1.113 eV/atom. The value obtained for the total magnetization is 5.13 Bohr magnetons per cell.

The structure belongs to space group P4/mmm (No. 123); the cell edges are 4.862, 4.862 and 5.183 Å and the angles 90.00°, 90.00° and 90.00°. The distinct sites, in fractional coordinates, are Li at (0.000, 0.500, 0.000), Ca at (0.000, 0.000, 0.500), Mn at (0.500, 0.500, 0.500) and Os at (0.000, 0.000, 0.000).

***

Entry 9:
A plane-wave DFT calculation with PBE was carried out for a relaxed structure of KAl2NiAs.

The uncorrected energy is -1.89 eV/atom. The energy of formation is 1.912 eV/atom. The value obtained for the total magnetization is 0.89 Bohr magnetons per cell.

The structure belongs to space group P4/mmm (No. 123); the cell edges are 5.454, 5.454 and 5.408 Å and the angles 90.00°, 90.00° and 90.00°. The distinct sites, in fractional coordinates, are K at (0.000, 0.000, 0.000), Al at (0.000, 0.500, 0.000), Ni at (0.500, 0.500, 0.500) and As at (0.000, 0.000, 0.500).

***

Entry 10:
A plane-wave DFT calculation with PBE was carried out for a relaxed structure of LiMgPdSe2.

Its formation energy without anion corrections is -0.075 eV/atom. The uncorrected energy is -3.21 eV/atom. The value obtained for the total magnetization is 0.00 Bohr magnetons per cell.

The structure belongs to space group P4/mmm (No. 123); the cell edges are 5.052, 5.052 and 4.826 Å and the angles 90.00°, 90.00° and 90.00°. The distinct sites, in fractional coordinates, are Li at (0.000, 0.000, 0.000), Mg at (0.500, 0.500, 0.500), Pd at (0.500, 0.500, 0.000) and Se at (0.000, 0.500, 0.500).

***

Entry 11:
A plane-wave DFT calculation with PBE was carried out for a relaxed structure of IrOs2F.

Its formation energy without anion corrections is 0.809 eV/atom. The uncorrected energy is -7.49 eV/atom. For the energy above the lowest structure with this stoichiometry, the calculation gives 0.334 eV per atom. The value obtained for the total magnetization is 0.00 Bohr magnetons per cell.

The structure belongs to space group I-42d (No. 122); the cell edges are 6.474, 6.474 and 5.381 Å and the angles 90.00°, 90.00° and 90.00°. The distinct sites, in fractional coordinates, are Ir at (0.000, 0.000, 0.000), Os at (0.216, 0.750, 0.625) and F at (0.000, 0.000, 0.500).

***

Entry 12:
A plane-wave DFT calculation with PBE was carried out for a relaxed structure of Cr4Fe2N.

Its formation energy without anion corrections is -0.105 eV/atom. The uncorrected energy is -9.21 eV/atom. The value obtained for the total magnetization is 33.69 Bohr magnetons per cell.

The structure belongs to space group Fd-3m (No. 227, origin choice 2); the cell edges are 10.561, 10.561 and 10.561 Å and the angles 90.00°, 90.00° and 90.00°. The distinct sites, in fractional coordinates, are Cr at (0.000, 0.000, 0.000), Cr at (0.064, 0.375, 0.875), Fe at (0.040, 0.040, 0.210) and N at (0.000, 0.000, 0.500).